Compound: MnCr2Cu
Source: Alexandria via LeMat-Bulk
Functional: GGA-PBE
Structure: relaxed

Properties
- V: 45.9 Å³/cell
- DFT formation energy: 0.229 eV per atom
- Energy above the most stable polymorph in this dataset: 23 kJ/mol of formula units
- Symmetry: No. 10

Cell: 2.409 3.930 4.964 Å, 90.00 102.32 90.00°
Fractional positions:
Mn (0.000, 0.000, 0.000)
Cr (0.463, 0.500, 0.240)
Cr (0.537, 0.500, 0.760)
Cu (0.000, 0.000, 0.500)